Run one
Compound: V2FeHRh
Source: Alexandria
Functional: PBE-GGA
Structure: relaxed

extended XYZ file:
```
5
Lattice="3.852 0.000 0.000 0.000 3.852 0.000 0.000 0.000 3.559" Properties=species:S:1:pos:R:3 pbc="T T T"
V 0.000 1.926 0.000
V 1.926 0.000 0.000
Fe 0.000 0.000 1.780
H 0.000 0.000 0.000
Rh 1.926 1.926 1.780
```

Calculated density: 8.22 g/cm3
Symmetry: P4/mmm, No. 123

***

Run two
Compound: V2FeHRh
Source: Alexandria
Functional: PBE-GGA
Structure: relaxed

extended XYZ file:
```
5
Lattice="3.781 0.000 0.000 0.000 3.781 0.000 0.000 0.000 3.788" Properties=species:S:1:pos:R:3 pbc="T T T"
V 0.000 1.890 0.000
V 1.890 0.000 0.000
Fe 0.000 0.000 1.894
H 1.890 1.890 0.000
Rh 1.890 1.890 1.894
```

Calculated density: 8.02 g/cm3
Symmetry: P4/mmm, No. 123

***

Run three
Compound: V2FeHRh
Source: Alexandria
Functional: PBE-GGA
Structure: relaxed

extended XYZ file:
```
5
Lattice="4.549 0.000 0.000 0.000 4.549 0.000 0.000 0.000 4.441" Properties=species:S:1:pos:R:3 pbc="T T T"
V 0.000 2.275 0.000
V 2.275 0.000 0.000
Fe 0.000 0.000 2.220
H 2.275 2.275 2.220
Rh 0.000 0.000 0.000
```

Calculated density: 4.73 g/cm3
Symmetry: P4/mmm, No. 123

***

Least stable = run three

***

Run one
Compound: ZnFeHRh2
Source: Alexandria
Functional: PBE-GGA
Structure: relaxed

extended XYZ file:
```
5
Lattice="3.981 0.000 0.000 0.000 3.981 0.000 0.000 0.000 3.630" Properties=species:S:1:pos:R:3 pbc="T T T"
Zn 0.000 0.000 0.000
Fe 1.990 1.990 0.000
H 1.990 1.990 1.815
Rh 0.000 1.990 1.815
Rh 1.990 0.000 1.815
```

Calculated density: 9.47 g/cm3
Symmetry: P4/mmm, No. 123

***

Run two
Compound: ZnFeHRh2
Source: Alexandria
Functional: PBE-GGA
Structure: relaxed

extended XYZ file:
```
5
Lattice="4.008 0.000 0.000 0.000 4.008 0.000 0.000 0.000 3.603" Properties=species:S:1:pos:R:3 pbc="T T T"
Zn 0.000 0.000 0.000
Fe 2.004 2.004 0.000
H 0.000 0.000 1.801
Rh 0.000 2.004 1.801
Rh 2.004 0.000 1.801
```

Calculated density: 9.41 g/cm3
Symmetry: P4/mmm, No. 123

***

Least stable = run two

***

Run one
Compound: ZrFeHRh2
Source: Alexandria
Functional: PBE-GGA
Structure: relaxed

extended XYZ file:
```
5
Lattice="4.024 0.000 0.000 0.000 4.024 0.000 0.000 0.000 3.884" Properties=species:S:1:pos:R:3 pbc="T T T"
Zr 0.000 0.000 0.000
Fe 2.012 2.012 0.000
H 2.012 2.012 1.942
Rh 0.000 2.012 1.942
Rh 2.012 0.000 1.942
```

Calculated density: 9.34 g/cm3
Symmetry: P4/mmm, No. 123

***

Run two
Compound: ZrFeHRh2
Source: Alexandria
Functional: PBE-GGA
Structure: relaxed

extended XYZ file:
```
5
Lattice="3.960 0.000 0.000 0.000 3.960 0.000 0.000 0.000 4.072" Properties=species:S:1:pos:R:3 pbc="T T T"
Zr 0.000 0.000 0.000
Fe 1.980 1.980 0.000
H 0.000 0.000 2.036
Rh 0.000 1.980 2.036
Rh 1.980 0.000 2.036
```

Calculated density: 9.20 g/cm3
Symmetry: P4/mmm, No. 123

***

Least stable = run two

***

Run one
Compound: FeH3Ru
Source: Alexandria
Functional: PBE-GGA
Structure: relaxed

extended XYZ file:
```
5
Lattice="3.199 0.000 0.000 0.000 3.199 0.000 0.000 0.000 3.199" Properties=species:S:1:pos:R:3 pbc="T T T"
Fe 0.000 0.000 0.000
H 0.000 0.000 1.600
H 0.000 1.600 0.000
H 1.600 0.000 0.000
Ru 1.600 1.600 1.600
```

Calculated density: 8.11 g/cm3
Symmetry: Pm-3m, No. 221

***

Run two
Compound: FeH3Ru
Source: Alexandria
Functional: PBE-GGA
Structure: relaxed

extended XYZ file:
```
5
Lattice="3.400 0.000 0.000 0.000 3.400 0.000 0.000 0.000 3.400" Properties=species:S:1:pos:R:3 pbc="T T T"
Fe 0.000 0.000 0.000
H 0.000 1.700 1.700
H 1.700 0.000 1.700
H 1.700 1.700 0.000
Ru 1.700 1.700 1.700
```

Calculated density: 6.76 g/cm3
Symmetry: Pm-3m, No. 221

***

Least stable = run one

***

Run one
Compound: FeHRu2
Source: Alexandria
Functional: PBE-GGA
Structure: relaxed

extended XYZ file:
```
8
Lattice="-2.937 2.937 2.521 2.937 -2.937 2.521 2.937 2.937 -2.521" Properties=species:S:1:pos:R:3 pbc="T T T"
Fe 0.000 0.000 0.000
Fe 0.000 2.937 1.261
H 2.937 0.000 1.261
H 0.000 0.000 2.521
Ru 1.469 1.984 -0.630
Ru 3.890 1.469 0.630
Ru 1.469 0.953 1.891
Ru -0.953 1.469 3.152
```

Calculated density: 9.89 g/cm3
Symmetry: I-42d, No. 122

***

Run two
Compound: FeHRu2
Source: Alexandria
Functional: PBE-GGA
Structure: relaxed

extended XYZ file:
```
4
Lattice="0.000 2.823 2.823 2.823 0.000 2.823 2.823 2.823 0.000" Properties=species:S:1:pos:R:3 pbc="T T T"
Fe 0.000 0.000 0.000
H 2.823 2.823 2.823
Ru 1.412 1.412 1.412
Ru 4.235 4.235 4.235
```

Calculated density: 9.56 g/cm3
Symmetry: Fm-3m, No. 225

***

Least stable = run two

***

Run one
Compound: Fe2H2Ru
Source: Alexandria
Functional: PBE-GGA
Structure: relaxed

extended XYZ file:
```
10
Lattice="5.583 0.000 0.000 0.000 5.583 0.000 0.000 0.000 2.661" Properties=species:S:1:pos:R:3 pbc="T T T"
Fe 0.746 2.045 0.000
Fe 2.045 4.836 0.000
Fe 3.537 0.746 0.000
Fe 4.836 3.537 0.000
H 1.197 3.988 1.330
H 1.594 1.197 1.330
H 3.988 4.385 1.330
H 4.385 1.594 1.330
Ru 0.000 0.000 1.330
Ru 2.791 2.791 1.330
```

Calculated density: 8.60 g/cm3
Symmetry: P4/mbm, No. 127

***

Run two
Compound: Fe2H2Ru
Source: Alexandria
Functional: PBE-GGA
Structure: relaxed

extended XYZ file:
```
10
Lattice="4.242 -1.885 0.000 4.242 1.885 0.000 -1.727 0.000 5.085" Properties=species:S:1:pos:R:3 pbc="T T T"
Fe -0.430 0.000 1.268
Fe 7.187 0.000 3.816
Fe 2.100 0.000 2.107
Fe 4.657 0.000 2.978
H 0.408 0.000 2.920
H 2.959 0.000 3.713
H 3.799 0.000 1.372
H 6.350 0.000 2.164
Ru 1.233 0.000 4.694
Ru 5.524 0.000 0.390
```

Calculated density: 8.77 g/cm3
Symmetry: C2/m, No. 12

***

Least stable = run one

***

Run one
Compound: Fe3HRu
Source: Alexandria
Functional: PBE-GGA
Structure: relaxed

extended XYZ file:
```
5
Lattice="3.604 0.000 0.000 0.000 3.604 0.000 0.000 0.000 3.604" Properties=species:S:1:pos:R:3 pbc="T T T"
Fe 0.000 0.000 1.802
Fe 0.000 1.802 0.000
Fe 1.802 0.000 0.000
H 0.000 0.000 0.000
Ru 1.802 1.802 1.802
```

Calculated density: 9.57 g/cm3
Symmetry: Pm-3m, No. 221

***

Run two
Compound: Fe3HRu
Source: Alexandria
Functional: PBE-GGA
Structure: relaxed

extended XYZ file:
```
5
Lattice="4.617 0.000 0.000 0.000 4.617 0.000 0.000 0.000 4.617" Properties=species:S:1:pos:R:3 pbc="T T T"
Fe 0.000 0.000 2.309
Fe 0.000 2.309 0.000
Fe 2.309 0.000 0.000
H 2.309 2.309 2.309
Ru 0.000 0.000 0.000
```

Calculated density: 4.55 g/cm3
Symmetry: Pm-3m, No. 221

***

Least stable = run two

***

Run one
Compound: Sc2FeHRu
Source: Alexandria
Functional: PBE-GGA
Structure: relaxed

extended XYZ file:
```
5
Lattice="4.492 0.000 0.000 0.000 4.492 0.000 0.000 0.000 3.286" Properties=species:S:1:pos:R:3 pbc="T T T"
Sc 0.000 2.246 0.000
Sc 2.246 0.000 0.000
Fe 0.000 0.000 1.643
H 0.000 0.000 0.000
Ru 2.246 2.246 1.643
```

Calculated density: 6.21 g/cm3
Symmetry: P4/mmm, No. 123

***

Run two
Compound: Sc2FeHRu
Source: Alexandria
Functional: PBE-GGA
Structure: relaxed

extended XYZ file:
```
5
Lattice="4.992 0.000 0.000 0.000 4.992 0.000 0.000 0.000 3.286" Properties=species:S:1:pos:R:3 pbc="T T T"
Sc 0.000 2.496 0.000
Sc 2.496 0.000 0.000
Fe 0.000 0.000 1.643
H 2.496 2.496 1.643
Ru 2.496 2.496 0.000
```

Calculated density: 5.03 g/cm3
Symmetry: P4/mmm, No. 123

***

Least stable = run two